a | VASP calculation (PBE) on crystalline YTm2O at its relaxed geometry.

Cell: 3.1698 3.1698 8.5694 Å, 90.00 90.00 90.00°
Atoms (fractional coordinates):
Y: 0.0000 0.0000 0.0000
Tm: 0.5000 0.5000 0.3219
Tm: 0.5000 0.5000 0.6781
O: 0.0000 0.0000 0.5000

Values from the calculation:
Calculated volume: 21.5 Å³ per atom
Crystal system: tetragonal

b | VASP calculation (PBE) on crystalline YTm2O at its relaxed geometry.

Cell: 3.4759 3.4759 25.7121 Å, 90.00 90.00 120.00°
Atoms (fractional coordinates):
Y: 0.0000 0.0000 0.0000
Y: 0.3333 0.6667 0.6667
Y: 0.6667 0.3333 0.3333
Tm: 0.0000 0.0000 0.2190
Tm: 0.0000 0.0000 0.7810
Tm: 0.3333 0.6667 0.4477
Tm: 0.3333 0.6667 0.8857
Tm: 0.6667 0.3333 0.1143
Tm: 0.6667 0.3333 0.5523
O: 0.0000 0.0000 0.5000
O: 0.3333 0.6667 0.1667
O: 0.6667 0.3333 0.8333

Values from the calculation:
Calculated volume: 22.4 Å³ per atom
Crystal system: trigonal

Most stable structure - b; separation to the second - 547 meV/atom.

a | VASP calculation (PBE) on crystalline UO3 at its relaxed geometry.

Cell: 4.1640 4.1640 4.1640 Å, 90.00 90.00 90.00°
Atoms (fractional coordinates):
U: 0.0000 0.0000 0.0000
O: 0.0000 0.0000 0.5000
O: 0.0000 0.5000 0.0000
O: 0.5000 0.0000 0.0000

Values from the calculation:
Calculated volume: 18.1 Å³ per atom
Crystal system: cubic

b | VASP calculation (PBE) on crystalline UO3 at its relaxed geometry.

Cell: 3.8079 3.8079 4.1514 Å, 90.00 90.00 120.00°
Atoms (fractional coordinates):
U: 0.0000 0.0000 0.0000
O: 0.0000 0.0000 0.5000
O: 0.3333 0.6667 0.1134
O: 0.6667 0.3333 0.8866

Values from the calculation:
Calculated volume: 13.0 Å³ per atom
Crystal system: trigonal

c | VASP calculation (PBE) on crystalline UO3 at its relaxed geometry.

Cell: 5.2467 5.5469 7.5785 Å, 90.00 90.00 90.00°
Atoms (fractional coordinates):
U: 0.2162 0.1250 0.1841
U: 0.2838 0.8750 0.6841
U: 0.7162 0.3750 0.8159
U: 0.7838 0.6250 0.3159
O: 0.0306 0.8619 0.0961
O: 0.0658 0.6153 0.7460
O: 0.0815 0.8703 0.4289
O: 0.4185 0.1297 0.9289
O: 0.4342 0.3847 0.2460
O: 0.4694 0.1381 0.5961
O: 0.5306 0.6381 0.9039
O: 0.5658 0.8847 0.2540
O: 0.5815 0.6297 0.5711
O: 0.9185 0.3703 0.0711
O: 0.9342 0.1153 0.7540
O: 0.9694 0.3619 0.4039

Values from the calculation:
Calculated volume: 13.8 Å³ per atom
Crystal system: orthorhombic

Most stable structure - a; separation to the second - 86 meV/atom.

a | VASP calculation (PBE) on crystalline UO3 at its relaxed geometry.

Cell: 4.2110 4.2062 19.7684 Å, 90.00 95.67 90.00°
Atoms (fractional coordinates):
U: 0.0000 0.0000 0.0000
U: 0.0897 0.0000 0.2191
U: 0.1878 0.0000 0.4312
U: 0.2848 0.0000 0.6426
U: 0.3875 0.0000 0.8547
O: 0.0321 0.0000 0.0981
O: 0.0883 0.5000 0.2165
O: 0.1388 0.0000 0.3255
O: 0.1878 0.5000 0.4310
O: 0.2363 0.0000 0.5370
O: 0.2846 0.5000 0.6429
O: 0.3361 0.0000 0.7506
O: 0.3911 0.5000 0.8460
O: 0.3971 0.2520 0.9770
O: 0.3971 0.7480 0.9770
O: 0.5696 0.0000 0.1763
O: 0.6045 0.0000 0.2514
O: 0.6879 0.0000 0.4315
O: 0.7853 0.0000 0.6440
O: 0.9039 0.0000 0.8889

Values from the calculation:
Calculated volume: 17.4 Å³ per atom
Crystal system: monoclinic

b | VASP calculation (PBE) on crystalline UO3 at its relaxed geometry.

Cell: 11.2362 11.2362 11.2362 Å, 143.81 143.81 52.11°
Atoms (fractional coordinates):
U: 0.0000 0.0000 0.0000
U: 0.0000 0.0000 0.5000
U: 0.0000 0.5000 0.0000
U: 0.1862 0.4362 0.7500
U: 0.4362 0.1862 0.2500
U: 0.5000 0.0000 0.5000
U: 0.5638 0.8138 0.7500
U: 0.8138 0.5638 0.2500
O: 0.0761 0.5663 0.5098
O: 0.0927 0.1431 0.5504
O: 0.0927 0.5423 0.9496
O: 0.1431 0.0927 0.0504
O: 0.1767 0.2342 0.9425
O: 0.2083 0.7658 0.4425
O: 0.2342 0.1767 0.4425
O: 0.2342 0.7917 0.0575
O: 0.4337 0.4435 0.5098
O: 0.4337 0.9239 0.9902
O: 0.4435 0.4337 0.0098
O: 0.4577 0.9073 0.5504
O: 0.5423 0.0927 0.4496
O: 0.5565 0.5663 0.9902
O: 0.5663 0.0761 0.0098
O: 0.5663 0.5565 0.4902
O: 0.7658 0.2083 0.9425
O: 0.7658 0.8233 0.5575
O: 0.7917 0.2342 0.5575
O: 0.8233 0.7658 0.0575
O: 0.8569 0.9073 0.9496
O: 0.9073 0.4577 0.0504
O: 0.9073 0.8569 0.4496
O: 0.9239 0.4337 0.4902

Values from the calculation:
Calculated volume: 15.4 Å³ per atom
Crystal system: tetragonal

Most stable structure - b; separation to the second - 292 meV/atom.